# 1
# Re2SeCl

Re2SeCl at its PBEsol-relaxed geometry (SCAN, the Alexandria database).

Geometry as POSCAR:
```
Re2SeCl
1.0
3.069 0.000 0.000
0.000 4.322 0.000
0.000 0.000 4.322
Re Cl Se
2 1 1
Cartesian
0.000 2.161 0.000
0.000 0.000 2.161
1.535 0.000 0.000
1.535 2.161 2.161
```

raw formation energy	31.4	kcal/mol of atoms
space-group type	P4/mmm
ΔE to the lowest computed polymorph	0.783	eV per atom

=====

# 2
# Ba2TePd

Ba2TePd at its PBEsol-relaxed geometry (SCAN, the Alexandria database).

Geometry as POSCAR:
```
Ba2TePd
1.0
7.422 0.101 0.165
-2.693 6.917 -0.165
-2.693 -3.288 6.088
Ba Te Pd
4 2 2
Cartesian
1.836 1.315 2.494
-1.145 3.323 5.075
5.259 3.800 0.823
-1.876 -0.977 3.784
0.000 0.000 0.000
1.018 4.417 1.481
1.018 -0.686 4.607
-2.693 1.815 2.961
```

raw formation energy	-22.2	kcal/mol of atoms
space-group type	I-42d

=====

# 3
# SrCa2Se

SrCa2Se at its PBEsol-relaxed geometry (SCAN, the Alexandria database).

Geometry as POSCAR:
```
SrCa2Se
1.0
-1.661 0.701 -3.618
-2.928 -2.420 -1.383
-8.598 5.458 2.747
Se Sr Ca
1 1 2
Cartesian
-6.594 1.870 -1.127
0.000 0.000 0.000
-9.328 2.324 -2.041
-3.859 1.415 -0.212
```

raw formation energy	-23.6	kcal/mol of atoms
space-group type	R-3m

=====

# 4
# Cs3TlSb

Cs3TlSb at its PBEsol-relaxed geometry (SCAN, the Alexandria database).

Geometry as POSCAR:
```
Cs3TlSb
1.0
6.802 0.000 0.000
0.000 6.802 0.000
0.000 0.000 6.802
Cs Tl Sb
3 1 1
Cartesian
3.401 0.000 0.000
0.000 3.401 0.000
0.000 0.000 3.401
0.000 0.000 0.000
3.401 3.401 3.401
```

raw formation energy	4.5	kcal/mol of atoms
space-group type	Pm-3m

=====

# 5
# TaZnIr

TaZnIr at its PBEsol-relaxed geometry (SCAN, the Alexandria database).

Geometry as POSCAR:
```
TaZnIr
1.0
2.788 0.000 0.000
0.000 4.308 0.000
0.000 -2.154 3.731
Ir Ta Zn
1 1 1
Cartesian
1.394 0.000 0.000
0.000 0.000 2.487
1.394 2.154 1.244
```

space-group type	P-6m2
energy of formation	-453	meV/atom

=====

# 6
# WBr3

WBr3 at its PBEsol-relaxed geometry (SCAN, the Alexandria database).

Geometry as POSCAR:
```
WBr3
1.0
-1.212 0.585 2.801
-2.575 -1.548 -0.791
3.532 -7.450 3.084
W Br
1 3
Cartesian
-0.128 -4.207 2.547
-1.894 -0.482 1.005
2.398 -5.059 2.094
1.133 -2.391 0.990
```

raw formation energy	12.4	kcal/mol of atoms
space-group type	P4/mmm
ΔE to the lowest computed polymorph	0.587	eV per atom

=====

# 7
# CaLaTiPb2

CaLaTiPb2 at its PBEsol-relaxed geometry (SCAN, the Alexandria database).

Geometry as POSCAR:
```
CaLaTiPb2
1.0
-3.514 -2.202 2.806
4.234 -2.010 3.724
-0.511 4.986 3.272
La Pb Ca Ti
1 2 1 1
Cartesian
0.000 0.000 0.000
-0.255 2.493 1.636
2.117 -1.005 1.862
0.104 0.387 4.901
-1.757 -1.101 1.403
```

space-group type	P4/mmm
energy of formation	540	meV/atom

=====

# 8
# BiAs2Br2

BiAs2Br2 at its PBEsol-relaxed geometry (SCAN, the Alexandria database).

Geometry as POSCAR:
```
BiAs2Br2
1.0
5.277 0.000 0.000
0.000 7.336 0.000
0.000 0.000 7.336
Bi Br As
2 4 4
Cartesian
0.000 0.000 0.000
0.000 3.668 3.668
2.639 4.904 1.236
2.639 2.432 6.101
2.639 6.101 4.904
2.639 1.236 2.432
0.000 2.792 6.460
0.000 0.876 2.792
0.000 6.460 4.544
0.000 4.544 0.876
```

raw formation energy	0.9	kcal/mol of atoms
space-group type	P4/mbm

=====

# 9
# CaTcAu

CaTcAu at its PBEsol-relaxed geometry (SCAN, the Alexandria database).

Geometry as POSCAR:
```
CaTcAu
1.0
4.604 0.000 0.000
2.302 3.987 0.000
2.302 1.329 3.759
Au Tc Ca
1 1 1
Cartesian
2.302 1.329 0.940
4.604 2.658 1.880
0.000 0.000 0.000
```

space-group type	F-43m
energy of formation	374	meV/atom

=====

# 10
# NaGe2Se2

NaGe2Se2 at its PBEsol-relaxed geometry (SCAN, the Alexandria database).

Geometry as POSCAR:
```
NaGe2Se2
1.0
3.889 0.000 0.000
0.000 3.889 0.000
-1.944 -1.944 7.194
Ge Na Se
2 1 2
Cartesian
1.944 0.000 3.597
0.000 1.944 3.597
0.000 0.000 0.000
1.944 1.944 1.331
0.000 0.000 5.863
```

raw formation energy	-4.4	kcal/mol of atoms
space-group type	I4/mmm

=====

# 11
# Y2ScRu

Y2ScRu at its PBEsol-relaxed geometry (SCAN, the Alexandria database).

Geometry as POSCAR:
```
Y2ScRu
1.0
-1.824 -2.718 -1.241
2.409 0.392 -4.399
3.368 -2.077 4.536
Sc Y Ru
1 2 1
Cartesian
-0.912 -1.359 -0.621
1.763 -2.464 -2.131
2.190 -1.939 1.027
1.205 0.196 -2.200
```

space-group type	Immm
energy of formation	-225	meV/atom
ΔE to the lowest computed polymorph	0.083	eV per atom

=====

# 12
# AgSe2N2

AgSe2N2 at its PBEsol-relaxed geometry (SCAN, the Alexandria database).

Geometry as POSCAR:
```
AgSe2N2
1.0
-1.674 1.781 3.027
-3.279 -3.887 0.473
3.240 -2.347 3.174
N Se Ag
2 2 1
Cartesian
-0.837 0.890 1.513
-0.856 -2.226 3.337
-1.639 -1.943 0.237
1.620 -1.173 1.587
0.000 0.000 0.000
```

raw formation energy	49.4	kcal/mol of atoms
space-group type	P4/mmm

=====

# 13
# ScAlTc2

ScAlTc2 at its PBEsol-relaxed geometry (SCAN, the Alexandria database).

Geometry as POSCAR:
```
ScAlTc2
1.0
2.865 0.000 0.000
1.433 2.481 0.000
1.433 0.827 8.968
Sc Tc Al
1 2 1
Cartesian
1.433 0.827 2.135
1.433 0.827 8.796
4.298 2.481 6.801
2.865 1.654 4.689
```

space-group type	R3m
energy of formation	-40	meV/atom
ΔE to the lowest computed polymorph	0.343	eV per atom

=====

# 14
# ScRh2Cl

ScRh2Cl at its PBEsol-relaxed geometry (SCAN, the Alexandria database).

Geometry as POSCAR:
```
ScRh2Cl
1.0
-0.747 2.958 -0.281
-3.691 -0.723 2.208
4.338 -0.217 2.872
Rh Sc Cl
2 1 1
Cartesian
0.659 1.917 1.728
-0.181 1.984 4.654
-2.137 1.152 1.112
-0.761 0.100 3.068
```

raw formation energy	-6.5	kcal/mol of atoms
space-group type	Imm2

=====

# 15
# AlZn2

AlZn2 at its PBEsol-relaxed geometry (SCAN, the Alexandria database).

Geometry as POSCAR:
```
AlZn2
1.0
2.722 0.000 0.000
0.000 7.670 0.000
0.000 -3.835 6.642
Zn Al
6 3
Cartesian
0.000 2.695 4.669
0.000 2.279 0.000
1.361 1.425 2.468
1.361 -2.410 4.174
1.361 4.819 0.000
0.000 -1.139 1.973
0.000 0.000 4.428
0.000 3.835 2.214
1.361 0.000 0.000
```

space-group type	P-62m
energy of formation	99	meV/atom

=====

# 16
# LiCdPb2

LiCdPb2 at its PBEsol-relaxed geometry (SCAN, the Alexandria database).

Geometry as POSCAR:
```
LiCdPb2
1.0
3.805 0.000 0.000
0.000 4.992 0.000
-1.902 -2.496 5.158
Pb Cd Li
2 1 1
Cartesian
0.000 2.496 2.521
0.000 0.000 0.155
0.000 0.000 4.960
1.902 0.000 2.679
```

space-group type	Imm2
energy of formation	-123	meV/atom

=====

# 17
# FeSbRuI2

FeSbRuI2 at its PBEsol-relaxed geometry (SCAN, the Alexandria database).

Geometry as POSCAR:
```
FeSbRuI2
1.0
-3.841 -2.631 1.656
0.823 -3.626 -3.853
3.267 -2.719 3.257
Fe Sb I Ru
1 1 2 1
Cartesian
0.124 -4.488 0.530
-1.921 -1.315 0.828
0.411 -1.813 -1.927
1.633 -1.360 1.629
0.000 0.000 0.000
```

raw formation energy	20.4	kcal/mol of atoms
space-group type	P4/mmm

=====

# 18
# SbPb2Cl

SbPb2Cl at its PBEsol-relaxed geometry (SCAN, the Alexandria database).

Geometry as POSCAR:
```
SbPb2Cl
1.0
-2.516 -2.127 1.340
-0.191 -1.934 -3.430
5.440 -4.890 2.454
Cl Pb Sb
1 2 1
Cartesian
1.366 -4.475 0.182
4.095 -3.681 1.847
1.345 -1.209 0.607
-1.354 -2.030 -1.045
```

raw formation energy	-7.7	kcal/mol of atoms
space-group type	Pmmm
ΔE to the lowest computed polymorph	0.115	eV per atom

=====

# 19
# PSe

PSe at its PBEsol-relaxed geometry (SCAN, the Alexandria database).

Geometry as POSCAR:
```
PSe
1.0
-3.070 -3.521 -5.594
9.824 -3.409 -3.247
-5.218 -6.949 7.237
Se P
16 16
Cartesian
0.570 -8.877 -1.505
-1.421 -8.221 3.923
5.273 -6.466 -2.813
4.821 -8.694 -5.604
-3.284 -5.184 4.000
3.708 -8.743 2.708
2.958 -5.657 -5.527
4.382 -5.511 0.581
-1.522 -2.680 -1.160
0.987 -3.490 -3.575
3.058 -11.198 -0.444
-2.172 -5.135 -4.312
0.966 -5.001 -0.099
-2.845 -8.367 -2.185
-3.736 -7.412 1.209
0.550 -10.388 1.971
0.512 -2.003 -1.916
6.758 -3.763 -1.376
-0.249 -5.346 -3.070
2.636 -8.972 -0.513
-1.100 -4.906 -1.091
1.024 -11.875 0.312
-3.214 -9.228 -0.099
-1.548 -7.232 1.862
-1.759 -5.091 2.317
-0.278 -10.985 -1.221
3.084 -6.646 -3.466
4.750 -4.650 -1.505
1.814 -2.894 -0.383
3.296 -8.788 -3.921
1.786 -8.532 1.466
-5.221 -10.115 -0.229
```

raw formation energy	-2.0	kcal/mol of atoms
space-group type	P2_1/c
ΔE to the lowest computed polymorph	0.000	eV per atom

=====

# 20
# Cs2NaI

Cs2NaI at its PBEsol-relaxed geometry (SCAN, the Alexandria database).

Geometry as POSCAR:
```
Cs2NaI
1.0
6.715 0.000 0.000
3.357 5.815 0.000
3.357 1.938 5.482
Na Cs I
1 2 1
Cartesian
0.000 0.000 0.000
10.072 5.815 4.112
3.357 1.938 1.371
6.715 3.877 2.741
```

raw formation energy	-16.3	kcal/mol of atoms
space-group type	Fm-3m

=====

# 21
# Tb2Sn2O7

Tb2Sn2O7 at its PBEsol-relaxed geometry (SCAN, the Alexandria database).

Geometry as POSCAR:
```
Tb2Sn2O7
1.0
-0.355 -4.617 -5.713
5.385 -0.075 -5.007
4.586 -5.736 -0.382
O Tb Sn
14 4 4
Cartesian
2.404 -2.607 -2.776
7.459 -5.618 -8.093
5.055 -3.011 -5.318
7.020 -5.470 -5.482
6.964 -10.023 -8.560
0.000 0.000 0.000
7.116 -8.044 -6.111
4.712 -5.438 -3.336
9.424 -8.077 -8.257
4.560 -7.416 -5.784
4.999 -7.565 -8.396
4.903 -4.990 -7.766
2.595 -4.958 -5.620
7.307 -7.597 -10.542
3.894 -1.341 -3.891
1.202 -1.303 -1.388
1.024 -3.612 -4.244
3.495 -4.171 -1.579
6.187 -4.209 -4.083
6.010 -6.517 -6.939
3.317 -6.480 -4.435
3.717 -3.649 -6.748
```

raw formation energy	-65.3	kcal/mol of atoms
space-group type	Fd-3m

=====

# 22
# Co2AgOs

Co2AgOs at its PBEsol-relaxed geometry (SCAN, the Alexandria database).

Geometry as POSCAR:
```
Co2AgOs
1.0
2.620 0.000 0.000
0.000 2.620 0.000
0.000 0.000 7.459
Os Co Ag
1 2 1
Cartesian
0.000 0.000 3.489
1.310 1.310 1.787
0.000 0.000 0.218
1.310 1.310 5.695
```

space-group type	P4mm
energy of formation	432	meV/atom
ΔE to the lowest computed polymorph	0.049	eV per atom

=====

# 23
# SbMoBr2

SbMoBr2 at its PBEsol-relaxed geometry (SCAN, the Alexandria database).

Geometry as POSCAR:
```
SbMoBr2
1.0
-1.612 2.617 3.874
-4.499 2.051 -0.100
-3.602 -1.798 2.872
Mo Sb Br
1 1 2
Cartesian
-4.856 1.435 3.323
-2.428 0.717 1.662
-7.284 2.152 4.985
0.000 0.000 0.000
```

raw formation energy	15.7	kcal/mol of atoms
space-group type	F-43m
ΔE to the lowest computed polymorph	0.567	eV per atom

=====

# 24
# ZrNiW2

ZrNiW2 at its PBEsol-relaxed geometry (SCAN, the Alexandria database).

Geometry as POSCAR:
```
ZrNiW2
1.0
-1.298 3.179 -1.632
-1.819 0.906 3.213
5.123 0.134 0.614
W Zr Ni
2 1 1
Cartesian
0.873 1.541 2.309
1.133 2.678 -0.114
-1.559 2.043 0.791
0.000 0.000 0.000
```

space-group type	I4/mmm
energy of formation	251	meV/atom
ΔE to the lowest computed polymorph	0.169	eV per atom

=====

# 25
# LaPt2Br

LaPt2Br at its PBEsol-relaxed geometry (SCAN, the Alexandria database).

Geometry as POSCAR:
```
LaPt2Br
1.0
-1.158 1.936 -3.331
2.616 -2.397 -2.303
-3.651 -4.525 0.562
Pt La Br
2 1 1
Cartesian
-4.340 -2.800 -2.016
-0.472 -0.621 -3.773
-1.963 -4.553 -1.375
-2.632 -0.893 -2.060
```

raw formation energy	-17.5	kcal/mol of atoms
space-group type	Pm
ΔE to the lowest computed polymorph	0.000	eV per atom

=====

# 26
# NiRu2Se2

NiRu2Se2 at its PBEsol-relaxed geometry (SCAN, the Alexandria database).

Geometry as POSCAR:
```
NiRu2Se2
1.0
3.882 0.000 0.000
0.000 3.882 0.000
-1.941 -1.941 5.417
Se Ru Ni
2 2 1
Cartesian
0.000 1.941 2.708
1.941 0.000 2.708
0.000 0.000 4.185
1.941 1.941 1.231
0.000 0.000 0.000
```

raw formation energy	15.7	kcal/mol of atoms
space-group type	I4/mmm

=====

# 27
# AsBr2Cl

AsBr2Cl at its PBEsol-relaxed geometry (SCAN, the Alexandria database).

Geometry as POSCAR:
```
AsBr2Cl
1.0
3.711 0.000 0.000
0.000 6.307 -0.761
0.000 -3.522 6.264
Cl As Br
1 1 2
Cartesian
0.000 0.310 3.064
1.855 -1.045 4.122
0.000 -2.229 5.617
1.855 3.619 1.715
```

raw formation energy	-11.1	kcal/mol of atoms
space-group type	Pm
ΔE to the lowest computed polymorph	0.005	eV per atom

=====

Number 1: total magnetic moment 0.000 μB/f.u., energy -41.202 eV per atom. Number 2: total magnetic moment 0.000 μB/f.u., energy -38.244 eV per atom. Number 3: total magnetic moment 0.196 μB/f.u., energy -16.445 eV per atom. Number 4: total magnetic moment 2.102 μB/f.u., energy -44.413 eV per atom. Number 5: total magnetic moment 0.000 μB/f.u., energy -50.853 eV per atom. Number 6: total magnetic moment 0.000 μB/f.u., energy -31.480 eV per atom. Number 7: total magnetic moment 3.061 μB/f.u., energy -43.532 eV per atom. Number 8: total magnetic moment 0.000 μB/f.u., energy -31.536 eV per atom. Number 9: total magnetic moment 3.177 μB/f.u., energy -37.586 eV per atom. Number 10: total magnetic moment 0.000 μB/f.u., energy -16.700 eV per atom. Number 11: total magnetic moment 0.000 μB/f.u., energy -26.413 eV per atom. Number 12: total magnetic moment 2.865 μB/f.u., energy -15.877 eV per atom. Number 13: total magnetic moment 0.001 μB/f.u., energy -23.067 eV per atom. Number 14: total magnetic moment 0.000 μB/f.u., energy -22.722 eV per atom. Number 15: total magnetic moment 0.000 μB/f.u., energy -11.495 eV per atom. Number 16: total magnetic moment 0.000 μB/f.u., energy -46.214 eV per atom. Number 17: total magnetic moment 4.236 μB/f.u., energy -31.855 eV per atom. Number 18: total magnetic moment 0.000 μB/f.u., energy -49.533 eV per atom. Number 19: total magnetic moment 0.000 μB/f.u., energy -15.324 eV per atom. Number 20: total magnetic moment 0.000 μB/f.u., energy -29.852 eV per atom. Number 21: total magnetic moment 0.000 μB/f.u., energy -21.830 eV per atom. Number 22: total magnetic moment 3.106 μB/f.u., energy -34.032 eV per atom. Number 23: total magnetic moment 2.411 μB/f.u., energy -27.087 eV per atom. Number 24: total magnetic moment 0.001 μB/f.u., energy -46.311 eV per atom. Number 25: total magnetic moment 0.000 μB/f.u., energy -51.495 eV per atom. Number 26: total magnetic moment 0.249 μB/f.u., energy -24.516 eV per atom. Number 27: total magnetic moment 0.000 μB/f.u., energy -17.254 eV per atom.